This record from the Alexandria database describes a relaxed SiAgCl2 crystal. The functional is GGA-PBEsol.

Values from the calculation:
E above lowest polymorph   132.0 meV/atom
Formation energy from raw total energies   -0.02 eV per formula unit
Density   4.384 g/cm³
Total moment   0.00 μB/f.u.

Unit cell a=8.081 b=3.139 c=6.220 alpha=90.00 beta=96.67 gamma=90.00
Space group C2/m (No. 12)
Unique sites:
Si (0.000, 0.000, 0.000) x2
Ag (0.000, 0.500, 0.500) x2
Cl (0.218, 0.000, 0.744) x4


This record from the Alexandria database describes a relaxed Si3AgCl crystal. The functional is GGA-PBEsol.

Values from the calculation:
Formation energy from raw total energies   4.92 eV per formula unit
Density   3.329 g/cm³
Total moment   0.00 μB/f.u.

Unit cell a=4.842 b=4.842 c=4.842 alpha=90.00 beta=90.00 gamma=90.00
Space group Pm-3m (No. 221)
Unique sites:
Si (0.000, 0.000, 0.500) x3
Ag (0.000, 0.000, 0.000) x1
Cl (0.500, 0.500, 0.500) x1


This record from the Alexandria database describes a relaxed TaAgCl2 crystal. The functional is GGA-PBEsol.

Values from the calculation:
E above lowest polymorph   311.4 meV/atom
Formation energy from raw total energies   -0.16 eV per formula unit
Density   6.764 g/cm³
Total moment   0.00 μB/f.u.

Unit cell a=3.1089 b=3.1089 c=31.6516 alpha=90.00 beta=90.00 gamma=120.00
Space group R-3m (No. 166, hexagonal axes)
Unique sites:
Ta (0.0000, 0.0000, 0.0000) x3
Ag (0.0000, 0.0000, 0.5000) x3
Cl (0.0000, 0.0000, 0.0714) x6


This record from the Alexandria database describes a relaxed TaAgCl2 crystal. The functional is GGA-PBEsol.

Values from the calculation:
E above lowest polymorph   1060.0 meV/atom
Formation energy from raw total energies   2.83 eV per formula unit
Density   8.313 g/cm³
Total moment   1.82 μB/f.u.

Unit cell a=6.599 b=6.599 c=6.599 alpha=90.00 beta=90.00 gamma=90.00
Space group F-43m (No. 216)
Unique sites:
Ta (0.000, 0.000, 0.000) x4
Ag (0.250, 0.250, 0.750) x4
Cl (0.000, 0.000, 0.500) x4
Cl (0.250, 0.250, 0.250) x4


This record from the Alexandria database describes a relaxed TaAgCl2 crystal. The functional is GGA-PBEsol.

Values from the calculation:
E above lowest polymorph   0.0 meV/atom
Formation energy from raw total energies   -1.41 eV per formula unit
Density   8.042 g/cm³
Total moment   0.00 μB/f.u.

Unit cell a=3.1811 b=3.1811 c=25.4270 alpha=90.00 beta=90.00 gamma=120.00
Space group R3m (No. 160, hexagonal axes)
Unique sites:
Ta (0.0000, 0.0000, 0.0000) x3
Ag (0.0000, 0.0000, 0.7516) x3
Cl (0.0000, 0.0000, 0.2676) x3
Cl (0.0000, 0.0000, 0.4894) x3


This record from the Alexandria database describes a relaxed Ta3AgCl crystal. The functional is GGA-PBEsol.

Values from the calculation:
Formation energy from raw total energies   11.02 eV per formula unit
Density   9.714 g/cm³
Total moment   0.00 μB/f.u.

Unit cell a=4.895 b=4.895 c=4.895 alpha=90.00 beta=90.00 gamma=90.00
Space group Pm-3m (No. 221)
Unique sites:
Ta (0.000, 0.000, 0.500) x3
Ag (0.000, 0.000, 0.000) x1
Cl (0.500, 0.500, 0.500) x1


This record from the Alexandria database describes a relaxed TaAgCl2 crystal. The functional is GGA-PBEsol.

Values from the calculation:
E above lowest polymorph   851.0 meV/atom
Formation energy from raw total energies   1.99 eV per formula unit
Density   8.629 g/cm³
Total moment   0.00 μB/f.u.

Unit cell a=3.629 b=3.629 c=10.516 alpha=90.00 beta=90.00 gamma=90.00
Space group I-4m2 (No. 119)
Unique sites:
Ta (0.000, 0.000, 0.000) x2
Ag (0.000, 0.500, 0.250) x2
Cl (0.000, 0.000, 0.500) x2
Cl (0.000, 0.500, 0.750) x2


This record from the Alexandria database describes a relaxed TaAgCl2 crystal. The functional is GGA-PBEsol.

Values from the calculation:
E above lowest polymorph   504.1 meV/atom
Formation energy from raw total energies   0.61 eV per formula unit
Density   6.240 g/cm³
Total moment   1.69 μB/f.u.

Unit cell a=8.374 b=8.374 c=5.460 alpha=90.00 beta=90.00 gamma=90.00
Space group I-42d (No. 122)
Unique sites:
Ta (0.000, 0.000, 0.000) x4
Ag (0.000, 0.000, 0.500) x4
Cl (0.119, 0.250, 0.125) x8


This record from the Alexandria database describes a relaxed TaAgCl2 crystal. The functional is GGA-PBEsol.

Values from the calculation:
E above lowest polymorph   708.0 meV/atom
Formation energy from raw total energies   1.42 eV per formula unit
Density   9.090 g/cm³
Total moment   0.00 μB/f.u.

Unit cell a=4.139 b=4.139 c=7.671 alpha=90.00 beta=90.00 gamma=90.00
Space group I4/mmm (No. 139)
Unique sites:
Ta (0.000, 0.000, 0.000) x2
Ag (0.000, 0.000, 0.500) x2
Cl (0.000, 0.500, 0.250) x4


This record from the Alexandria database describes a relaxed Tc2AgCl crystal. The functional is GGA-PBEsol.

Values from the calculation:
E above lowest polymorph   0.0 meV/atom
Formation energy from raw total energies   3.82 eV per formula unit
Density   9.297 g/cm³
Total moment   0.00 μB/f.u.

Unit cell a=5.840 b=6.300 c=4.393 alpha=90.00 beta=131.42 gamma=90.00
Space group C2 (No. 5)
Unique sites:
Tc (0.000, 0.000, 0.000) x2
Tc (0.000, 0.249, 0.500) x2
Ag (0.000, 0.500, 0.000) x2
Cl (0.000, 0.751, 0.500) x2


This record from the Alexandria database describes a relaxed Tc2AgCl crystal. The functional is GGA-PBEsol.

Values from the calculation:
E above lowest polymorph   163.0 meV/atom
Formation energy from raw total energies   4.47 eV per formula unit
Density   8.737 g/cm³
Total moment   0.08 μB/f.u.

Unit cell a=3.617 b=3.617 c=9.862 alpha=90.00 beta=90.00 gamma=90.00
Space group I4/mmm (No. 139)
Unique sites:
Tc (0.000, 0.500, 0.250) x4
Ag (0.000, 0.000, 0.000) x2
Cl (0.000, 0.000, 0.500) x2


This record from the Alexandria database describes a relaxed Tc2AgCl crystal. The functional is GGA-PBEsol.

Values from the calculation:
E above lowest polymorph   79.0 meV/atom
Formation energy from raw total energies   4.14 eV per formula unit
Density   9.654 g/cm³
Total moment   0.00 μB/f.u.

Unit cell a=4.527 b=4.527 c=2.848 alpha=90.00 beta=90.00 gamma=90.00
Space group P4/mmm (No. 123)
Unique sites:
Tc (0.000, 0.500, 0.000) x2
Ag (0.000, 0.000, 0.500) x1
Cl (0.500, 0.500, 0.500) x1